A geometry-optimized Pm3HoTm2 structure. Source: Alexandria, functional PBE-GGA.

abc: 17.5255 7.1564 6.1788
angles: 90.00 90.25 90.00
Last column: nearest neighbours and their distance in Å.
Space group C2/c (No. 15)
Symmetry-distinct sites (fractional):
Pm 0.0000 0.1249 0.2500 (multiplicity 4)  4 Pm 3.57-3.58, 4 Ho 3.57-3.58, 4 Tm 3.57-3.58
Pm 0.1670 0.3748 0.4168 (multiplicity 8)  4 Pm 3.56-3.58, 6 Tm 3.56-3.58, 2 Ho 3.58-3.59
Ho 0.0000 0.3747 0.7500 (multiplicity 4)  8 Pm 3.57-3.59, 2 Ho 3.57, 2 Tm 3.58
Tm 0.1668 0.1247 0.9173 (multiplicity 8)  8 Pm 3.56-3.58, 3 Tm 3.57, 1 Ho 3.58

Summary:
DOS(E_F)   8.505 states/eV/f.u.
ΔE to the lowest computed polymorph   0 meV per atom

A geometry-optimized Pm3Ho2Tm2 structure. Source: Alexandria, functional PBE-GGA.

abc: 11.2515 5.0434 7.9960
angles: 90.00 98.25 90.00
Last column: nearest neighbours and their distance in Å.
Space group C2/m (No. 12)
Symmetry-distinct sites (fractional):
Pm 0.0000 0.0000 0.0000 (multiplicity 2)  6 Ho 3.55-3.56, 4 Tm 3.57, 2 Pm 3.57
Pm 0.1423 0.0000 0.4285 (multiplicity 4)  4 Pm 3.55-3.57, 5 Tm 3.56-3.57, 3 Ho 3.58
Ho 0.2150 0.5000 0.1411 (multiplicity 4)  2 Ho 3.55, 6 Pm 3.55-3.58, 4 Tm 3.55-3.58
Tm 0.0717 0.5000 0.7152 (multiplicity 4)  4 Ho 3.55-3.58, 7 Pm 3.56-3.57, 1 Tm 3.58

Summary:
DOS(E_F)   9.500 states/eV/f.u.

A geometry-optimized Pm3Ho8Tm3 structure. Source: Alexandria, functional PBE-GGA.

abc: 5.5919 10.6796 14.9974
angles: 90.00 90.00 90.00
Last column: nearest neighbours and their distance in Å.
Space group Immm (No. 71)
Symmetry-distinct sites (fractional):
Pm 0.0000 0.0000 0.0000 (multiplicity 2)  2 Pm 3.25, 8 Ho 3.63
Pm 0.0000 0.3044 0.0000 (multiplicity 4)  1 Pm 3.25, 4 Tm 3.49, 4 Ho 3.55
Ho 0.0000 0.1590 0.2222 (multiplicity 8)  6 Ho 3.25-3.51, 2 Tm 3.55
Ho 0.0000 0.3401 0.3962 (multiplicity 8)  5 Ho 3.11-3.41
Tm 0.0000 0.0000 0.5000 (multiplicity 2)  4 Pm 3.49
Tm 0.0000 0.5000 0.1861 (multiplicity 4)  2 Pm 3.49, 8 Ho 3.55-3.68

Summary:
DOS(E_F)   21.813 states/eV/f.u.
ΔE to the lowest computed polymorph   19 meV per atom

A geometry-optimized PmHo3Tm12 structure. Source: Alexandria, functional PBE-GGA.

abc: 4.9543 4.9543 19.8204
angles: 90.00 90.00 90.00
Last column: nearest neighbours and their distance in Å.
Space group P4/mmm (No. 123)
Symmetry-distinct sites (fractional):
Pm 0.0000 0.0000 0.0000 (multiplicity 1)  12 Tm 3.50-3.52
Ho 0.0000 0.0000 0.2508 (multiplicity 2)  12 Tm 3.49-3.50
Ho 0.0000 0.0000 0.5000 (multiplicity 1)  12 Tm 3.50
Tm 0.0000 0.5000 0.1265 (multiplicity 4)  2 Ho 3.49, 8 Tm 3.50-3.52, 2 Pm 3.52
Tm 0.0000 0.5000 0.3755 (multiplicity 4)  8 Tm 3.49-3.50, 4 Ho 3.50
Tm 0.5000 0.5000 0.0000 (multiplicity 1)  4 Pm 3.50, 8 Tm 3.52
Tm 0.5000 0.5000 0.2513 (multiplicity 2)  8 Tm 3.49-3.50, 4 Ho 3.50
Tm 0.5000 0.5000 0.5000 (multiplicity 1)  8 Tm 3.50, 4 Ho 3.50

Summary:
DOS(E_F)   21.684 states/eV/f.u.

A geometry-optimized Pm2Ho3Tm8 structure. Source: Alexandria, functional PBE-GGA.

abc: 7.5282 5.4793 10.9532
angles: 90.00 110.05 90.00
Last column: nearest neighbours and their distance in Å.
Space group P2/m (No. 10)
Symmetry-distinct sites (fractional):
Pm 0.2410 0.0000 0.4810 (multiplicity 2)  8 Tm 3.40-3.58, 2 Pm 3.78-3.79
Ho 0.0000 0.0000 0.0000 (multiplicity 1)  4 Tm 3.09
Ho 0.2857 0.5000 0.9999 (multiplicity 2)  3 Ho 3.23-3.48, 6 Tm 3.41-3.52
Tm 0.1287 0.5000 0.2576 (multiplicity 2)  4 Ho 3.41-3.81, 5 Tm 3.51-3.82, 2 Pm 3.58
Tm 0.1785 0.0000 0.7845 (multiplicity 2)  1 Ho 3.09, 3 Tm 3.22-3.37
Tm 0.3391 0.5000 0.6771 (multiplicity 2)  4 Tm 3.36-3.37, 2 Pm 3.40, 2 Ho 3.69
Tm 0.3936 0.0000 0.2153 (multiplicity 2)  1 Ho 3.09, 3 Tm 3.22-3.36

Summary:
DOS(E_F)   22.179 states/eV/f.u.

A geometry-optimized Pm3Ho3Tm structure. Source: Alexandria, functional PBE-GGA.

abc: 6.1986 6.1986 42.8874
angles: 90.00 90.00 120.00
Last column: nearest neighbours and their distance in Å.
Space group R-3 (No. 148, hexagonal axes)
Symmetry-distinct sites (fractional):
Pm 0.0001 0.3309 0.1311 (multiplicity 18)  3 Ho 3.53-3.54, 9 Pm 3.55-3.69
Ho 0.0002 0.3333 0.2690 (multiplicity 18)  2 Tm 3.45, 3 Pm 3.53-3.54, 6 Ho 3.58
Tm 0.0000 0.0000 0.3333 (multiplicity 6)  6 Ho 3.45, 3 Tm 3.58

Summary:
DOS(E_F)   10.659 states/eV/f.u.
ΔE to the lowest computed polymorph   146 meV per atom

A geometry-optimized Pm3Ho8Tm4 structure. Source: Alexandria, functional PBE-GGA.

abc: 13.3200 12.7623 6.6912
angles: 90.00 120.04 90.00
Last column: nearest neighbours and their distance in Å.
Space group C2/m (No. 12)
Symmetry-distinct sites (fractional):
Pm 0.0000 0.0000 0.0000 (multiplicity 2)  6 Ho 3.18-3.25
Pm 0.2500 0.2500 0.0000 (multiplicity 4)  4 Ho 3.21-3.33, 2 Tm 3.35
Ho 0.0000 0.1410 0.5000 (multiplicity 4)  7 Ho 3.53-3.75, 2 Tm 3.61, 4 Pm 3.61-3.80
Ho 0.0000 0.2490 0.0000 (multiplicity 4)  3 Pm 3.18-3.33, 3 Tm 3.20-3.34
Ho 0.2300 0.0000 0.9489 (multiplicity 4)  3 Pm 3.21-3.25, 4 Ho 3.21-3.53, 1 Tm 3.44
Ho 0.2426 0.0000 0.4827 (multiplicity 4)  4 Tm 3.19-3.44, 2 Ho 3.21-3.49, 1 Pm 3.23
Tm 0.0000 0.5000 0.0000 (multiplicity 2)  6 Ho 3.20-3.44, 2 Tm 3.35
Tm 0.0000 0.5000 0.5000 (multiplicity 2)  2 Tm 3.35, 4 Ho 3.37-3.64
Tm 0.2500 0.2500 0.5000 (multiplicity 4)  4 Ho 3.19-3.34, 2 Pm 3.35

Summary:
DOS(E_F)   28.482 states/eV/f.u.

A geometry-optimized PmHo5Tm2 structure. Source: Alexandria, functional PBE-GGA.

abc: 7.0622 14.1280 4.9816
angles: 90.00 90.00 90.00
Last column: nearest neighbours and their distance in Å.
Space group Pbam (No. 55)
Symmetry-distinct sites (fractional):
Pm 0.0000 0.0000 0.0000 (multiplicity 2)  8 Ho 3.53-3.54, 4 Tm 3.53
Ho 0.9995 0.2509 0.0000 (multiplicity 4)  7 Ho 3.51-3.53, 4 Tm 3.51-3.53, 1 Pm 3.54
Ho 0.0000 0.5000 0.0000 (multiplicity 2)  6 Ho 3.52-3.53, 4 Tm 3.53, 2 Pm 3.53
Ho 0.2491 0.3741 0.5000 (multiplicity 4)  4 Tm 3.51-3.55, 6 Ho 3.51-3.53, 2 Pm 3.54
Tm 0.2502 0.1256 0.5000 (multiplicity 4)  10 Ho 3.51-3.55, 2 Pm 3.53

Summary:
DOS(E_F)   9.369 states/eV/f.u.
ΔE to the lowest computed polymorph   0 meV per atom

A geometry-optimized Pm6HoTm3 structure. Source: Alexandria, functional PBE-GGA.

abc: 10.9461 19.2459 6.2815
angles: 90.00 90.00 90.00
Last column: nearest neighbours and their distance in Å.
Space group Cmc2_1 (No. 36)
Symmetry-distinct sites (fractional):
Pm 0.0000 0.0373 0.0000 (multiplicity 4)  1 Ho 3.34, 4 Tm 3.44-3.58, 4 Pm 3.45-3.73
Pm 0.0000 0.2801 0.2514 (multiplicity 4)  4 Pm 3.14-3.48, 1 Ho 3.33, 1 Tm 3.39
Pm 0.1692 0.4566 0.3568 (multiplicity 8)  4 Tm 3.49-3.71, 5 Pm 3.51-3.73
Pm 0.2306 0.2886 0.5478 (multiplicity 8)  5 Pm 3.14-3.51, 1 Tm 3.27, 2 Ho 3.38-3.43
Ho 0.0000 0.1966 0.7879 (multiplicity 4)  3 Tm 3.30-3.66, 6 Pm 3.33-3.43
Tm 0.0000 0.3866 0.8222 (multiplicity 4)  7 Pm 3.39-3.71, 1 Ho 3.66, 2 Tm 3.71
Tm 0.1666 0.1129 0.4317 (multiplicity 8)  6 Pm 3.27-3.58, 1 Ho 3.30, 1 Tm 3.65

Summary:
DOS(E_F)   13.889 states/eV/f.u.
ΔE to the lowest computed polymorph   17 meV per atom

A geometry-optimized Pm6HoTm3 structure. Source: Alexandria, functional PBE-GGA.

abc: 9.7599 21.2174 6.3954
angles: 90.00 90.00 90.00
Last column: nearest neighbours and their distance in Å.
Space group Cmc2_1 (No. 36)
Symmetry-distinct sites (fractional):
Pm 0.0000 0.0161 0.0000 (multiplicity 4)  4 Pm 3.27-3.65, 1 Ho 3.28, 4 Tm 3.50-3.60
Pm 0.0000 0.3006 0.0196 (multiplicity 4)  1 Tm 3.16, 1 Ho 3.33, 2 Pm 3.50
Pm 0.1750 0.2804 0.4917 (multiplicity 8)  2 Tm 3.30-3.47, 3 Pm 3.42-3.61, 2 Ho 3.64-3.67
Pm 0.1802 0.4402 0.2431 (multiplicity 8)  3 Tm 3.37-3.56, 4 Pm 3.52-3.75
Ho 0.0000 0.1583 0.7990 (multiplicity 4)  4 Pm 3.28-3.64, 2 Tm 3.53
Tm 0.0000 0.4194 0.7228 (multiplicity 4)  3 Pm 3.16-3.46, 2 Tm 3.44
Tm 0.1678 0.1250 0.3229 (multiplicity 8)  2 Tm 3.28-3.44, 5 Pm 3.30-3.60, 1 Ho 3.53

Summary:
DOS(E_F)   15.799 states/eV/f.u.
ΔE to the lowest computed polymorph   0 meV per atom

A geometry-optimized Pm5Ho2Tm4 structure. Source: Alexandria, functional PBE-GGA.

abc: 11.0631 7.2817 9.2480
angles: 90.00 107.22 90.00
Last column: nearest neighbours and their distance in Å.
Space group C2/m (No. 12)
Symmetry-distinct sites (fractional):
Pm 0.0000 0.0000 0.0000 (multiplicity 2)  4 Pm 3.12, 2 Tm 3.35
Pm 0.0669 0.2805 0.2674 (multiplicity 8)  2 Pm 3.12-3.20, 1 Ho 3.43, 2 Tm 3.44-3.47
Ho 0.1459 0.0000 0.6181 (multiplicity 4)  1 Ho 3.32, 6 Pm 3.43-3.71, 4 Tm 3.44-3.65
Tm 0.1637 0.5000 0.6162 (multiplicity 4)  3 Ho 3.44-3.65, 6 Pm 3.44-3.51, 2 Tm 3.45-3.62
Tm 0.1974 0.5000 0.9991 (multiplicity 4)  5 Pm 3.35-3.59, 1 Tm 3.45, 1 Ho 3.45

Summary:
DOS(E_F)   13.767 states/eV/f.u.
ΔE to the lowest computed polymorph   0 meV per atom

A geometry-optimized Pm7Ho2Tm structure. Source: Alexandria, functional PBE-GGA.

abc: 8.7726 16.7029 5.5520
angles: 90.00 90.00 90.00
Last column: nearest neighbours and their distance in Å.
Space group Cmmm (No. 65)
Symmetry-distinct sites (fractional):
Pm 0.0000 0.0000 0.0000 (multiplicity 2)  4 Pm 3.38, 2 Ho 3.43
Pm 0.0000 0.2888 0.5000 (multiplicity 4)  2 Ho 3.11
Pm 0.1786 0.3886 0.0000 (multiplicity 8)  2 Pm 3.13-3.38, 2 Ho 3.23-3.44
Ho 0.0000 0.2054 0.0000 (multiplicity 4)  7 Pm 3.11-3.44
Tm 0.0000 0.5000 0.5000 (multiplicity 2)  10 Pm 3.53-3.69

Summary:
DOS(E_F)   14.659 states/eV/f.u.

Number 1: ΔH_f (0 K) 0.022 eV per atom, electronic total energy -4.607 eV/atom. Number 2: ΔH_f (0 K) 0.019 eV per atom, electronic total energy -4.602 eV/atom. Number 3: ΔH_f (0 K) 0.130 eV per atom, electronic total energy -4.462 eV/atom. Number 4: ΔH_f (0 K) 0.025 eV per atom, electronic total energy -4.483 eV/atom. Number 5: ΔH_f (0 K) 0.250 eV per atom, electronic total energy -4.289 eV/atom. Number 6: ΔH_f (0 K) 0.164 eV per atom, electronic total energy -4.472 eV/atom. Number 7: ΔH_f (0 K) 0.405 eV per atom, electronic total energy -4.179 eV/atom. Number 8: ΔH_f (0 K) 0.019 eV per atom, electronic total energy -4.554 eV/atom. Number 9: ΔH_f (0 K) 0.145 eV per atom, electronic total energy -4.504 eV/atom. Number 10: ΔH_f (0 K) 0.129 eV per atom, electronic total energy -4.521 eV/atom. Number 11: ΔH_f (0 K) 0.131 eV per atom, electronic total energy -4.487 eV/atom. Number 12: ΔH_f (0 K) 0.650 eV per atom, electronic total energy -4.038 eV/atom.